Crystalline NdLuPt at its relaxed geometry, computed with PBE.

Relative energy among the computed polymorphs, meV per atom: 132
Electronic total energy, eV per atom: -5.796
Crystal system: trigonal
Total moment, Bohr magnetons per cell: 0.00
Energy of formation, eV/atom: -0.69

a = 4.6310 Å, b = 4.6310 Å, c = 4.2889 Å
α = 90.00°, β = 90.00°, γ = 120.00°
Space group P3m1 (No. 156)
Asymmetric unit:
Nd (0.0000, 0.0000, 0.0000) x1
Lu (0.3333, 0.6667, 0.4909) x1
Pt (0.6667, 0.3333, 0.6457) x1

***

Crystalline VCrTc2W at its relaxed geometry, computed with PBE.

Electronic total energy, eV per atom: -8.670
Crystal system: tetragonal
Total moment, Bohr magnetons per cell: 1.66
Energy of formation, eV/atom: 1.82

a = 4.6659 Å, b = 4.6659 Å, c = 4.4670 Å
α = 90.00°, β = 90.00°, γ = 90.00°
Space group P4/mmm (No. 123)
Asymmetric unit:
V (0.0000, 0.0000, 0.0000) x1
Cr (0.5000, 0.5000, 0.0000) x1
Tc (0.0000, 0.5000, 0.5000) x2
W (0.5000, 0.5000, 0.5000) x1

***

Crystalline Nd3In5Ni2 at its relaxed geometry, computed with PBE.

Electronic total energy, eV per atom: -4.388
Crystal system: tetragonal
Total moment, Bohr magnetons per cell: 0.00
Energy of formation, eV/atom: -0.43

a = 10.3332 Å, b = 10.3332 Å, c = 4.3959 Å
α = 90.00°, β = 90.00°, γ = 90.00°
Space group P4/mbm (No. 127)
Asymmetric unit:
Nd (0.0000, 0.0000, 0.0000) x2
Nd (0.1720, 0.3280, 0.0000) x4
In (0.0000, 0.5000, 0.5000) x2
In (0.0670, 0.7798, 0.5000) x8
Ni (0.1269, 0.6269, 0.0000) x4

***

Crystalline BaGdNbSnO6 at its relaxed geometry, computed with PBE.

Relative energy among the computed polymorphs, meV per atom: 0
Electronic total energy, eV per atom: -8.566
Crystal system: triclinic
Total moment, Bohr magnetons per cell: 14.00
Energy relative to the elements, uncorrected, eV/atom: -2.583

a = 5.9774 Å, b = 6.0793 Å, c = 8.6737 Å
α = 88.29°, β = 88.52°, γ = 89.94°
Space group P-1 (No. 2)
Asymmetric unit:
Ba (0.0093, 0.4949, 0.2601) x2
Gd (0.0000, 0.0000, 0.5000) x1
Gd (0.5000, 0.5000, 0.0000) x1
Nb (0.0000, 0.0000, 0.0000) x1
Nb (0.5000, 0.5000, 0.5000) x1
Sn (0.4360, 0.0612, 0.7685) x2
O (0.0515, 0.0350, 0.7652) x2
O (0.1813, 0.7197, 0.9959) x2
O (0.2457, 0.7130, 0.5095) x2
O (0.2704, 0.2663, 0.4734) x2
O (0.2877, 0.1797, 0.0092) x2
O (0.4715, 0.4292, 0.7399) x2

***

Crystalline PrEr4Tm2 at its relaxed geometry, computed with PBE.

Relative energy among the computed polymorphs, meV per atom: 0
Electronic total energy, eV per atom: -4.534
Crystal system: monoclinic
Total moment, Bohr magnetons per cell: 0.00
Energy of formation, eV/atom: 0.03

a = 16.4832 Å, b = 3.5037 Å, c = 8.6783 Å
α = 90.00°, β = 119.18°, γ = 90.00°
Space group C2/m (No. 12)
Asymmetric unit:
Pr (0.0000, 0.0000, 0.0000) x2
Er (0.1413, 0.5000, 0.8304) x4
Er (0.2057, 0.5000, 0.2946) x4
Tm (0.0707, 0.0000, 0.4309) x4

***

Crystalline CsKTl17 at its relaxed geometry, computed with PBE.

Electronic total energy, eV per atom: -2.246
Crystal system: trigonal
Total moment, Bohr magnetons per cell: 0.00
Energy of formation, eV/atom: -0.03

a = 11.3929 Å, b = 11.3929 Å, c = 17.1633 Å
α = 90.00°, β = 90.00°, γ = 120.00°
Space group R3m (No. 160, hexagonal axes)
Asymmetric unit:
Cs (0.0000, 0.0000, 0.0000) x3
K (0.0000, 0.0000, 0.6722) x3
Tl (0.0000, 0.0000, 0.2453) x3
Tl (0.0000, 0.0000, 0.4389) x3
Tl (0.0028, 0.2944, 0.3411) x18
Tl (0.0177, 0.5089, 0.1975) x9
Tl (0.0189, 0.5095, 0.8378) x9
Tl (0.0281, 0.5140, 0.4852) x9

***

Crystalline PrP2Pd2 at its relaxed geometry, computed with PBE.

Electronic total energy, eV per atom: -6.152
Crystal system: monoclinic
Total moment, Bohr magnetons per cell: 0.00
Energy of formation, eV/atom: -0.96

a = 5.9313 Å, b = 5.9232 Å, c = 5.7933 Å
α = 90.00°, β = 120.67°, γ = 90.00°
Space group C2/m (No. 12)
Asymmetric unit:
Pr (0.0000, 0.0000, 0.0000) x2
P (0.1129, 0.5000, 0.2272) x4
Pd (0.0000, 0.2498, 0.5000) x4

***

Crystalline SrLa2PtO5 at its relaxed geometry, computed with PBE.

Electronic total energy, eV per atom: -7.324
Crystal system: tetragonal
Total moment, Bohr magnetons per cell: 0.00
Energy relative to the elements, uncorrected, eV/atom: -2.616

a = 6.8878 Å, b = 6.8878 Å, c = 5.9268 Å
α = 90.00°, β = 90.00°, γ = 90.00°
Space group P4/mbm (No. 127)
Asymmetric unit:
Sr (0.0000, 0.0000, 0.0000) x2
La (0.1753, 0.3247, 0.5000) x4
Pt (0.0000, 0.5000, 0.0000) x2
O (0.0000, 0.0000, 0.5000) x2
O (0.1454, 0.6454, 0.2437) x8

***

Crystalline UCd2F11 at its relaxed geometry, computed with PBE.

Electronic total energy, eV per atom: -4.930
Crystal system: orthorhombic
Total moment, Bohr magnetons per cell: 3.73
Energy relative to the elements, uncorrected, eV/atom: -2.523

a = 8.1035 Å, b = 10.1888 Å, c = 11.4409 Å
α = 90.00°, β = 90.00°, γ = 90.00°
Space group Ibam (No. 72)
Asymmetric unit:
U (0.0000, 0.0000, 0.2500) x4
Cd (0.1595, 0.3091, 0.0000) x8
F (0.0000, 0.5000, 0.0000) x4
F (0.0949, 0.1612, 0.1520) x16
F (0.1134, 0.3072, 0.5000) x8
F (0.1966, 0.0713, 0.3583) x16

***

Crystalline Y2ZnIr at its relaxed geometry, computed with PBE.

Electronic total energy, eV per atom: -6.195
Crystal system: trigonal
Total moment, Bohr magnetons per cell: 0.00
Energy of formation, eV/atom: -0.43

a = 4.3576 Å, b = 4.3576 Å, c = 18.4086 Å
α = 90.00°, β = 90.00°, γ = 120.00°
Space group R3m (No. 160, hexagonal axes)
Asymmetric unit:
Y (0.0000, 0.0000, 0.0000) x3
Y (0.0000, 0.0000, 0.1798) x3
Zn (0.0000, 0.0000, 0.7573) x3
Ir (0.0000, 0.0000, 0.4226) x3

***

Crystalline ZrCrCd2 at its relaxed geometry, computed with PBE.

Relative energy among the computed polymorphs, meV per atom: 86
Electronic total energy, eV per atom: -4.792
Crystal system: cubic
Total moment, Bohr magnetons per cell: 14.76
Energy of formation, eV/atom: 0.21

a = 6.8482 Å, b = 6.8482 Å, c = 6.8482 Å
α = 90.00°, β = 90.00°, γ = 90.00°
Space group Fm-3m (No. 225)
Asymmetric unit:
Zr (0.0000, 0.0000, 0.0000) x4
Cr (0.0000, 0.0000, 0.5000) x4
Cd (0.2500, 0.2500, 0.2500) x8

***

Crystalline CsTl2Ni at its relaxed geometry, computed with PBE.

Electronic total energy, eV per atom: -2.249
Crystal system: cubic
Total moment, Bohr magnetons per cell: 0.00
Energy of formation, eV/atom: 0.59

a = 7.9083 Å, b = 7.9083 Å, c = 7.9083 Å
α = 90.00°, β = 90.00°, γ = 90.00°
Space group Fm-3m (No. 225)
Asymmetric unit:
Cs (0.0000, 0.0000, 0.0000) x4
Tl (0.2500, 0.2500, 0.2500) x8
Ni (0.0000, 0.0000, 0.5000) x4